Entry from OQMD via LeMat-Bulk: SmTlO3 after structural relaxation (PBE). Values from VASP.

The structure in Quantum ESPRESSO input format:
```
&SYSTEM
  ibrav = 0, nat = 20, ntyp = 3
/
ATOMIC_SPECIES
Sm 150.36 Sm.upf
Tl 204.38 Tl.upf
O 16.00 O.upf
CELL_PARAMETERS angstrom
6.044 0.000 0.000
0.000 8.458 0.000
0.000 0.000 5.684
ATOMIC_POSITIONS angstrom
Sm 0.410 2.114 0.141
Sm 2.612 6.343 2.983
Sm 3.432 2.114 2.700
Sm 5.633 6.343 5.542
Tl 0.000 0.000 2.842
Tl 0.000 4.229 2.842
Tl 3.022 0.000 0.000
Tl 3.022 4.229 0.000
O 0.474 6.343 1.957
O 1.135 4.902 4.610
O 1.135 7.785 4.610
O 1.887 0.673 1.768
O 1.887 3.556 1.768
O 2.548 2.114 4.799
O 3.496 6.343 0.885
O 4.157 4.902 3.915
O 4.157 7.785 3.915
O 4.909 0.673 1.074
O 4.909 3.556 1.074
O 5.569 2.114 3.727
```

***

Entry from OQMD via LeMat-Bulk: Sm2Tl2O5 after structural relaxation (PBE). Values from VASP.

The structure in Quantum ESPRESSO input format:
```
&SYSTEM
  ibrav = 0, nat = 9, ntyp = 3
/
ATOMIC_SPECIES
Sm 150.36 Sm.upf
Tl 204.38 Tl.upf
O 16.00 O.upf
CELL_PARAMETERS angstrom
4.213 0.000 0.000
0.000 4.213 0.000
0.000 0.000 8.801
ATOMIC_POSITIONS angstrom
Sm 0.000 0.000 2.165
Sm 0.000 0.000 6.636
Tl 2.107 2.107 0.000
Tl 2.107 2.107 4.401
O 0.000 0.000 4.401
O 0.000 2.107 1.382
O 0.000 2.107 7.419
O 2.107 0.000 1.382
O 2.107 0.000 7.419
```

***

Entry from OQMD via LeMat-Bulk: SmTlO3 after structural relaxation (PBE). Values from VASP.

The structure in Quantum ESPRESSO input format:
```
&SYSTEM
  ibrav = 0, nat = 10, ntyp = 3
/
ATOMIC_SPECIES
Sm 150.36 Sm.upf
Tl 204.38 Tl.upf
O 16.00 O.upf
CELL_PARAMETERS angstrom
3.020 1.744 4.638
-3.020 1.744 4.638
0.000 -3.488 4.638
ATOMIC_POSITIONS angstrom
Sm 0.000 0.000 3.478
Sm 0.000 0.000 10.434
Tl 0.000 0.000 0.000
Tl 0.000 0.000 6.956
O -1.904 0.190 5.797
O -1.117 -1.554 8.116
O 0.787 -1.744 5.797
O -0.787 1.744 8.116
O 1.117 1.554 5.797
O 1.904 -0.190 8.116
```

***

Entry from OQMD via LeMat-Bulk: Sm2Tm2O5 after structural relaxation (PBE). Values from VASP.

The structure in Quantum ESPRESSO input format:
```
&SYSTEM
  ibrav = 0, nat = 9, ntyp = 3
/
ATOMIC_SPECIES
Sm 150.36 Sm.upf
Tm 168.93 Tm.upf
O 16.00 O.upf
CELL_PARAMETERS angstrom
3.913 0.000 0.000
0.000 3.913 0.000
0.000 0.000 9.587
ATOMIC_POSITIONS angstrom
Sm 0.000 0.000 2.312
Sm 0.000 0.000 7.275
Tm 1.956 1.956 0.000
Tm 1.956 1.956 4.793
O 0.000 0.000 4.793
O 0.000 1.956 1.312
O 0.000 1.956 8.274
O 1.956 0.000 1.312
O 1.956 0.000 8.274
```

***

Entry from OQMD via LeMat-Bulk: Sm3TmO6 after structural relaxation (PBE). Values from VASP.

The structure in Quantum ESPRESSO input format:
```
&SYSTEM
  ibrav = 0, nat = 20, ntyp = 3
/
ATOMIC_SPECIES
Sm 150.36 Sm.upf
Tm 168.93 Tm.upf
O 16.00 O.upf
CELL_PARAMETERS angstrom
4.885 2.820 3.800
-4.885 2.820 3.800
0.000 -5.640 3.800
ATOMIC_POSITIONS angstrom
Sm -3.393 -0.901 5.220
Sm -0.916 -3.388 6.179
Sm -2.476 2.488 6.179
Sm 2.476 -2.488 5.220
Sm 0.916 3.388 5.220
Sm 3.393 0.901 6.179
Tm 0.000 0.000 0.000
Tm 0.000 0.000 5.699
O -3.208 -3.055 6.181
O -4.249 1.251 5.218
O -1.180 -1.570 4.610
O 1.041 -4.305 5.218
O -1.949 0.237 6.788
O -0.770 1.807 4.610
O 0.770 -1.807 6.788
O 1.949 -0.237 4.610
O -1.041 4.305 6.181
O 1.180 1.570 6.788
O 4.249 -1.251 6.181
O 3.208 3.055 5.218
```

***

Entry from OQMD via LeMat-Bulk: Sm3TmO after structural relaxation (PBE). Values from VASP.

The structure in Quantum ESPRESSO input format:
```
&SYSTEM
  ibrav = 0, nat = 5, ntyp = 3
/
ATOMIC_SPECIES
Sm 150.36 Sm.upf
Tm 168.93 Tm.upf
O 16.00 O.upf
CELL_PARAMETERS angstrom
4.997 0.000 0.000
0.000 4.997 0.000
0.000 0.000 4.997
ATOMIC_POSITIONS angstrom
Sm 0.000 0.000 2.498
Sm 0.000 2.498 0.000
Sm 2.498 0.000 0.000
Tm 2.498 2.498 2.498
O 0.000 0.000 0.000
```

***

Entry from OQMD via LeMat-Bulk: Sm2Tm2O5 after structural relaxation (PBE). Values from VASP.

The structure in Quantum ESPRESSO input format:
```
&SYSTEM
  ibrav = 0, nat = 9, ntyp = 3
/
ATOMIC_SPECIES
Sm 150.36 Sm.upf
Tm 168.93 Tm.upf
O 16.00 O.upf
CELL_PARAMETERS angstrom
4.256 0.000 0.000
0.000 4.256 0.000
0.000 0.000 7.582
ATOMIC_POSITIONS angstrom
Sm 0.000 0.000 0.000
Sm 0.000 0.000 3.791
Tm 2.128 2.128 1.728
Tm 2.128 2.128 5.855
O 0.000 2.128 1.764
O 0.000 2.128 5.818
O 2.128 0.000 1.764
O 2.128 0.000 5.818
O 2.128 2.128 3.791
```

***

Entry from OQMD via LeMat-Bulk: SmTm2O4 after structural relaxation (PBE). Values from VASP.

The structure in Quantum ESPRESSO input format:
```
&SYSTEM
  ibrav = 0, nat = 14, ntyp = 3
/
ATOMIC_SPECIES
Sm 150.36 Sm.upf
Tm 168.93 Tm.upf
O 16.00 O.upf
CELL_PARAMETERS angstrom
0.000 4.763 4.763
4.763 0.000 4.763
4.763 4.763 0.000
ATOMIC_POSITIONS angstrom
Sm 1.191 1.191 1.191
Sm 8.336 8.336 8.336
Tm 4.763 2.382 2.382
Tm 2.382 4.763 2.382
Tm 2.382 2.382 4.763
Tm 4.763 4.763 4.763
O 2.502 2.502 2.502
O 4.643 4.643 2.502
O 4.643 2.502 4.643
O 7.025 4.884 4.884
O 2.502 4.643 4.643
O 4.884 7.025 4.884
O 4.884 4.884 7.025
O 7.025 7.025 7.025
```

***

Entry from OQMD via LeMat-Bulk: Sm2YO4 after structural relaxation (PBE). Values from VASP.

The structure in Quantum ESPRESSO input format:
```
&SYSTEM
  ibrav = 0, nat = 7, ntyp = 3
/
ATOMIC_SPECIES
Sm 150.36 Sm.upf
Y 88.91 Y.upf
O 16.00 O.upf
CELL_PARAMETERS angstrom
-3.581 3.581 3.055
3.581 -3.581 3.055
3.581 3.581 -3.055
ATOMIC_POSITIONS angstrom
Sm 3.581 0.000 1.527
Sm 0.000 3.581 1.527
Y 0.000 0.000 0.000
O 3.581 1.553 0.000
O 1.553 3.581 0.000
O 2.027 0.000 3.055
O 0.000 2.027 3.055
```

***

Entry from OQMD via LeMat-Bulk: SmY2O4 after structural relaxation (PBE). Values from VASP.

The structure in Quantum ESPRESSO input format:
```
&SYSTEM
  ibrav = 0, nat = 14, ntyp = 3
/
ATOMIC_SPECIES
Sm 150.36 Sm.upf
Y 88.91 Y.upf
O 16.00 O.upf
CELL_PARAMETERS angstrom
0.000 4.827 4.827
4.827 0.000 4.827
4.827 4.827 0.000
ATOMIC_POSITIONS angstrom
Sm 1.207 1.207 1.207
Sm 8.447 8.447 8.447
Y 4.827 2.413 2.413
Y 2.413 4.827 2.413
Y 2.413 2.413 4.827
Y 4.827 4.827 4.827
O 2.513 2.513 2.513
O 4.728 4.728 2.513
O 4.728 2.513 4.728
O 7.141 4.926 4.926
O 2.513 4.728 4.728
O 4.926 7.141 4.926
O 4.926 4.926 7.141
O 7.141 7.141 7.141
```

***

Entry from OQMD via LeMat-Bulk: SmYO4 after structural relaxation (PBE). Values from VASP.

The structure in Quantum ESPRESSO input format:
```
&SYSTEM
  ibrav = 0, nat = 6, ntyp = 3
/
ATOMIC_SPECIES
Sm 150.36 Sm.upf
Y 88.91 Y.upf
O 16.00 O.upf
CELL_PARAMETERS angstrom
3.415 -1.880 0.000
3.415 1.880 0.000
-0.686 0.000 6.178
ATOMIC_POSITIONS angstrom
Sm 0.000 0.000 0.000
Y 3.949 0.000 3.341
O 1.307 0.000 2.068
O 2.612 0.000 1.366
O 3.935 0.000 5.632
O 6.151 0.000 3.830
```

***

Entry from OQMD via LeMat-Bulk: Sm2YO3 after structural relaxation (PBE). Values from VASP.

The structure in Quantum ESPRESSO input format:
```
&SYSTEM
  ibrav = 0, nat = 6, ntyp = 3
/
ATOMIC_SPECIES
Sm 150.36 Sm.upf
Y 88.91 Y.upf
O 16.00 O.upf
CELL_PARAMETERS angstrom
3.453 0.000 0.000
-1.726 2.990 0.000
0.000 0.000 8.517
ATOMIC_POSITIONS angstrom
Sm 0.000 1.994 1.431
Sm 1.726 0.997 7.086
Y 0.000 0.000 4.258
O 0.000 0.000 0.000
O 0.000 1.994 5.545
O 1.726 0.997 2.972
```

***

Entry from OQMD via LeMat-Bulk: Sm2Y2O5 after structural relaxation (PBE). Values from VASP.

The structure in Quantum ESPRESSO input format:
```
&SYSTEM
  ibrav = 0, nat = 9, ntyp = 3
/
ATOMIC_SPECIES
Sm 150.36 Sm.upf
Y 88.91 Y.upf
O 16.00 O.upf
CELL_PARAMETERS angstrom
3.896 0.000 0.000
0.000 3.896 0.000
0.000 0.000 9.954
ATOMIC_POSITIONS angstrom
Sm 0.000 0.000 2.400
Sm 0.000 0.000 7.555
Y 1.948 1.948 0.000
Y 1.948 1.948 4.977
O 0.000 0.000 4.977
O 0.000 1.948 1.374
O 0.000 1.948 8.580
O 1.948 0.000 1.374
O 1.948 0.000 8.580
```

***

Entry from OQMD via LeMat-Bulk: Sm2Y2O5 after structural relaxation (PBE). Values from VASP.

The structure in Quantum ESPRESSO input format:
```
&SYSTEM
  ibrav = 0, nat = 9, ntyp = 3
/
ATOMIC_SPECIES
Sm 150.36 Sm.upf
Y 88.91 Y.upf
O 16.00 O.upf
CELL_PARAMETERS angstrom
3.935 0.000 0.000
0.000 3.935 0.000
0.000 0.000 9.609
ATOMIC_POSITIONS angstrom
Sm 0.000 0.000 0.000
Sm 0.000 0.000 4.804
Y 1.968 1.968 2.331
Y 1.968 1.968 7.278
O 0.000 1.968 1.416
O 0.000 1.968 8.193
O 1.968 0.000 1.416
O 1.968 0.000 8.193
O 1.968 1.968 4.804
```

***

Entry from OQMD via LeMat-Bulk: Sm3YO after structural relaxation (PBE). Values from VASP.

The structure in Quantum ESPRESSO input format:
```
&SYSTEM
  ibrav = 0, nat = 5, ntyp = 3
/
ATOMIC_SPECIES
Sm 150.36 Sm.upf
Y 88.91 Y.upf
O 16.00 O.upf
CELL_PARAMETERS angstrom
5.019 0.000 0.000
0.000 5.019 0.000
0.000 0.000 5.019
ATOMIC_POSITIONS angstrom
Sm 0.000 0.000 2.509
Sm 0.000 2.509 0.000
Sm 2.509 0.000 0.000
Y 2.509 2.509 2.509
O 0.000 0.000 0.000
```

***

Entry from OQMD via LeMat-Bulk: SmZn2O4 after structural relaxation (PBE). Values from VASP.

The structure in Quantum ESPRESSO input format:
```
&SYSTEM
  ibrav = 0, nat = 14, ntyp = 3
/
ATOMIC_SPECIES
Sm 150.36 Sm.upf
Zn 65.41 Zn.upf
O 16.00 O.upf
CELL_PARAMETERS angstrom
0.000 4.474 4.474
4.474 0.000 4.474
4.474 4.474 0.000
ATOMIC_POSITIONS angstrom
Sm 1.119 1.119 1.119
Sm 7.830 7.830 7.830
Zn 4.474 2.237 2.237
Zn 2.237 4.474 2.237
Zn 2.237 2.237 4.474
Zn 4.474 4.474 4.474
O 2.377 2.377 2.377
O 4.335 4.335 2.377
O 4.335 2.377 4.335
O 6.572 4.614 4.614
O 2.377 4.335 4.335
O 4.614 6.572 4.614
O 4.614 4.614 6.572
O 6.572 6.572 6.572
```

***

Entry from OQMD via LeMat-Bulk: SmZnO3 after structural relaxation (PBE). Values from VASP.

The structure in Quantum ESPRESSO input format:
```
&SYSTEM
  ibrav = 0, nat = 10, ntyp = 3
/
ATOMIC_SPECIES
Sm 150.36 Sm.upf
Zn 65.41 Zn.upf
O 16.00 O.upf
CELL_PARAMETERS angstrom
2.759 1.593 4.881
-2.759 1.593 4.881
0.000 -3.186 4.881
ATOMIC_POSITIONS angstrom
Sm 0.000 0.000 1.900
Sm 0.000 0.000 12.744
Zn 0.000 0.000 5.107
Zn 0.000 0.000 9.536
O -1.163 -1.401 6.053
O -1.795 0.307 8.591
O -0.632 1.708 6.053
O 0.632 -1.708 8.591
O 1.795 -0.307 6.053
O 1.163 1.401 8.591
```

***

Entry from OQMD via LeMat-Bulk: SmZnO3 after structural relaxation (PBE). Values from VASP.

The structure in Quantum ESPRESSO input format:
```
&SYSTEM
  ibrav = 0, nat = 10, ntyp = 3
/
ATOMIC_SPECIES
Sm 150.36 Sm.upf
Zn 65.41 Zn.upf
O 16.00 O.upf
CELL_PARAMETERS angstrom
2.859 1.651 5.107
-2.859 1.651 5.107
0.000 -3.301 5.107
ATOMIC_POSITIONS angstrom
Sm 0.000 0.000 0.000
Sm 0.000 0.000 7.660
Zn 0.000 0.000 3.830
Zn 0.000 0.000 11.490
O -1.921 -0.026 6.383
O -0.938 -1.676 8.937
O 0.983 -1.651 6.383
O -0.983 1.651 8.937
O 0.938 1.676 6.383
O 1.921 0.026 8.937
```

***

Entry from OQMD via LeMat-Bulk: Sm2Zn2O5 after structural relaxation (PBE). Values from VASP.

The structure in Quantum ESPRESSO input format:
```
&SYSTEM
  ibrav = 0, nat = 9, ntyp = 3
/
ATOMIC_SPECIES
Sm 150.36 Sm.upf
Zn 65.41 Zn.upf
O 16.00 O.upf
CELL_PARAMETERS angstrom
3.944 0.000 0.000
0.000 3.944 0.000
0.000 0.000 7.146
ATOMIC_POSITIONS angstrom
Sm 0.000 0.000 0.000
Sm 0.000 0.000 3.573
Zn 1.972 1.972 1.638
Zn 1.972 1.972 5.508
O 0.000 1.972 1.484
O 0.000 1.972 5.662
O 1.972 0.000 1.484
O 1.972 0.000 5.662
O 1.972 1.972 3.573
```

***

Entry from OQMD via LeMat-Bulk: SmZnO3 after structural relaxation (PBE). Values from VASP.

The structure in Quantum ESPRESSO input format:
```
&SYSTEM
  ibrav = 0, nat = 20, ntyp = 3
/
ATOMIC_SPECIES
Sm 150.36 Sm.upf
Zn 65.41 Zn.upf
O 16.00 O.upf
CELL_PARAMETERS angstrom
5.451 0.000 0.000
0.000 8.590 0.000
0.000 0.000 5.759
ATOMIC_POSITIONS angstrom
Sm 0.000 0.000 0.000
Sm 0.000 4.295 0.000
Sm 2.726 0.000 2.880
Sm 2.726 4.295 2.880
Zn 0.119 2.147 2.567
Zn 2.606 6.442 5.447
Zn 2.845 2.147 0.313
Zn 5.332 6.442 3.192
O 0.585 4.936 2.168
O 0.585 7.949 2.168
O 0.648 6.442 5.059
O 2.078 2.147 2.180
O 2.141 0.641 5.048
O 2.141 3.654 5.048
O 3.311 4.936 0.711
O 3.311 7.949 0.711
O 3.373 6.442 3.579
O 4.804 2.147 0.700
O 4.866 0.641 3.591
O 4.866 3.654 3.591
```

***

For each record above, in turn, the calculated energy values are -127.51; -56.57; -62.54; -68.13; -166.73; -29.15; -68.16; -112.75; -46.07; -119.63; -48.43; -47.37; -72.25; -72.92; -31.11; -78.96; -61.39; -61.51; -56.71; -124.43 eV per cell.